(1)
Compound: Re8Se
Source: Alexandria via LeMat-Bulk
Functional: GGA-PBE
Structure: relaxed

total moment = 0.0 μB per cell
formation energy from raw total energies = 2.23 eV/f.u.
symmetry = I4/mmm, No. 139
E_tot = -11.204 eV per atom

abc: 6.258 6.258 6.258
angles: 95.86 95.86 142.72
Atoms (fractional coordinates):
Re 0.000 0.344 0.344
Re 0.000 0.656 0.656
Re 0.318 0.318 0.637
Re 0.318 0.682 0.000
Re 0.344 0.000 0.344
Re 0.656 0.000 0.656
Re 0.682 0.318 0.000
Re 0.682 0.682 0.363
Se 0.000 0.000 0.000

=====

(2)
Compound: Y2Nb2Cd
Source: Alexandria via LeMat-Bulk
Functional: GGA-PBE
Structure: relaxed

total moment = 0.0 μB per cell
symmetry = I4/mmm, No. 139
E_tot = -6.494 eV per atom
polymorph energy (0 for the lowest one) = 61 meV per atom
energy of formation from the pure elements = 1.51 eV per formula unit

abc: 9.329 9.329 9.329
angles: 156.31 156.31 33.76
Atoms (fractional coordinates):
Y 0.106 0.106 0.000
Y 0.894 0.894 0.000
Nb 0.250 0.750 0.500
Nb 0.750 0.250 0.500
Cd 0.500 0.500 0.000

=====

(3)
Compound: Pm7Nd2Er3
Source: Alexandria via LeMat-Bulk
Functional: GGA-PBE
Structure: relaxed

total moment = 0.0 μB per cell
symmetry = P2/m, No. 10
E_tot = -4.620 eV per atom
polymorph energy (0 for the lowest one) = 20 meV per atom
energy of formation from the pure elements = 1.04 eV per formula unit

abc: 5.883 3.636 19.056
angles: 90.00 93.83 90.00
Atoms (fractional coordinates):
Pm 0.000 0.000 0.000
Pm 0.176 0.500 0.179
Pm 0.258 0.500 0.536
Pm 0.327 0.000 0.857
Pm 0.673 0.000 0.143
Pm 0.742 0.500 0.464
Pm 0.824 0.500 0.821
Nd 0.296 0.500 0.703
Nd 0.704 0.500 0.297
Er 0.218 0.000 0.369
Er 0.500 0.500 0.000
Er 0.782 0.000 0.631

=====

Please write out number 3 again, unchanged.
Compound: Pm7Nd2Er3
Source: Alexandria via LeMat-Bulk
Functional: GGA-PBE
Structure: relaxed

total moment = 0.0 μB per cell
symmetry = P2/m, No. 10
E_tot = -4.620 eV per atom
polymorph energy (0 for the lowest one) = 20 meV per atom
energy of formation from the pure elements = 1.04 eV per formula unit

abc: 5.883 3.636 19.056
angles: 90.00 93.83 90.00
Atoms (fractional coordinates):
Pm 0.000 0.000 0.000
Pm 0.176 0.500 0.179
Pm 0.258 0.500 0.536
Pm 0.327 0.000 0.857
Pm 0.673 0.000 0.143
Pm 0.742 0.500 0.464
Pm 0.824 0.500 0.821
Nd 0.296 0.500 0.703
Nd 0.704 0.500 0.297
Er 0.218 0.000 0.369
Er 0.500 0.500 0.000
Er 0.782 0.000 0.631

=====

Repeat the second record exactly.
Compound: Y2Nb2Cd
Source: Alexandria via LeMat-Bulk
Functional: GGA-PBE
Structure: relaxed

total moment = 0.0 μB per cell
symmetry = I4/mmm, No. 139
E_tot = -6.494 eV per atom
polymorph energy (0 for the lowest one) = 61 meV per atom
energy of formation from the pure elements = 1.51 eV per formula unit

abc: 9.329 9.329 9.329
angles: 156.31 156.31 33.76
Atoms (fractional coordinates):
Y 0.106 0.106 0.000
Y 0.894 0.894 0.000
Nb 0.250 0.750 0.500
Nb 0.750 0.250 0.500
Cd 0.500 0.500 0.000

=====

> Among the records above, which one has the highest E_tot?

Pm7Nd2Er3